1.
VASP calculation (GGA-PBE) on a relaxed structure of Ca3NdNi8.

Output
- Energy relative to the elements: -225 meV/atom

Cell and atoms, written as CIF:
```
data_Ca3NdNi8
_chemical_formula_sum 'Ca9 Nd3 Ni24'
_space_group_name_H-M_alt 'R 3 m'
_space_group_IT_number 160
_space_group_name_Hall 'R 3 -2"'
_cell_length_a 5.1100
_cell_length_b 5.1100
_cell_length_c 25.0124
_cell_angle_alpha 90.00
_cell_angle_beta 90.00
_cell_angle_gamma 120.00
loop_
_atom_site_label
_atom_site_fract_x
_atom_site_fract_y
_atom_site_fract_z
Ca1 0.0000 0.0000 0.0000
Ca2 0.0000 0.0000 0.1233
Ca3 0.0000 0.0000 0.4950
Nd1 0.0000 0.0000 0.6216
Ni1 0.0000 0.0000 0.3102
Ni2 0.0000 0.0000 0.8096
Ni3 0.0017 0.5009 0.5600
Ni4 0.1672 0.3344 0.3930
```


2.
VASP calculation (GGA-PBE) on a relaxed structure of AlInRh.

Output
- Energy relative to the elements: -462 meV/atom

Cell and atoms, written as CIF:
```
data_AlInRh
_chemical_formula_sum 'Al2 In2 Rh2'
_space_group_name_H-M_alt 'I m m 2'
_space_group_IT_number 44
_space_group_name_Hall 'I 2 -2'
_cell_length_a 3.259
_cell_length_b 3.346
_cell_length_c 9.261
_cell_angle_alpha 90.00
_cell_angle_beta 90.00
_cell_angle_gamma 90.00
loop_
_atom_site_label
_atom_site_fract_x
_atom_site_fract_y
_atom_site_fract_z
Al1 0.000 0.000 0.000
In1 0.000 0.000 0.697
Rh1 0.000 0.000 0.384
```


3.
VASP calculation (GGA-PBE) on a relaxed structure of LaPr6Sm.

Output
- Energy relative to the elements: 15 meV/atom

Cell and atoms, written as CIF:
```
data_LaPr6Sm
_chemical_formula_sum 'La4 Pr24 Sm4'
_space_group_name_H-M_alt 'F m m m'
_space_group_IT_number 69
_space_group_name_Hall '-F 2 2'
_cell_length_a 7.435
_cell_length_b 10.482
_cell_length_c 14.850
_cell_angle_alpha 90.00
_cell_angle_beta 90.00
_cell_angle_gamma 90.00
loop_
_atom_site_label
_atom_site_fract_x
_atom_site_fract_y
_atom_site_fract_z
La1 0.000 0.000 0.000
Pr1 0.000 0.000 0.250
Pr2 0.250 0.250 0.125
Sm1 0.000 0.000 0.500
```